# Te2RhIN (PBE, relaxed)
data_Te2RhIN
_chemical_formula_sum 'Te2 Rh1 I1 N1'
_cell_length_a 4.772
_cell_length_b 4.772
_cell_length_c 4.659
_cell_angle_alpha 90.00
_cell_angle_beta 90.00
_cell_angle_gamma 90.00
_space_group_name_H-M_alt 'P 1'
_space_group_IT_number 1
loop_
_space_group_symop_operation_xyz
'x,y,z'
loop_
_atom_site_label
_atom_site_fract_x
_atom_site_fract_y
_atom_site_fract_z
_atom_site_occupancy
I1 0.000 0.000 0.500 1
Te1 0.000 0.500 0.000 1
Te2 0.500 0.000 0.000 1
Rh1 0.500 0.500 0.500 1
N1 0.000 0.000 0.000 1
# SG = No. 123
# crystal system = tetragonal
# electronic total energy = -3.568 eV per atom
# calculated density = 7.8 g/cm3
# relative energy among the computed polymorphs = 64.1 kJ/mol of atoms
# M_tot = 0.00 μB/f.u.

# TeRhIN2 (PBE, relaxed)
data_TeRhIN2
_chemical_formula_sum 'Te1 Rh1 I1 N2'
_cell_length_a 3.987
_cell_length_b 3.987
_cell_length_c 7.971
_cell_angle_alpha 90.00
_cell_angle_beta 90.00
_cell_angle_gamma 90.00
_space_group_name_H-M_alt 'P 1'
_space_group_IT_number 1
loop_
_space_group_symop_operation_xyz
'x,y,z'
loop_
_atom_site_label
_atom_site_fract_x
_atom_site_fract_y
_atom_site_fract_z
_atom_site_occupancy
I1 0.000 0.000 0.500 1
Te1 0.500 0.500 0.500 1
Rh1 0.000 0.000 0.000 1
N1 0.000 0.500 0.000 1
N2 0.500 0.000 0.000 1
# SG = No. 123
# crystal system = tetragonal
# electronic total energy = -4.358 eV per atom
# calculated density = 5.1 g/cm3
# relative energy among the computed polymorphs = 10.9 kJ/mol of atoms
# M_tot = 0.43 μB/f.u.

# TeRhIN2 (PBE, relaxed)
data_TeRhIN2
_chemical_formula_sum 'Te1 Rh1 I1 N2'
_cell_length_a 3.890
_cell_length_b 3.890
_cell_length_c 7.576
_cell_angle_alpha 90.00
_cell_angle_beta 90.00
_cell_angle_gamma 90.00
_space_group_name_H-M_alt 'P 1'
_space_group_IT_number 1
loop_
_space_group_symop_operation_xyz
'x,y,z'
loop_
_atom_site_label
_atom_site_fract_x
_atom_site_fract_y
_atom_site_fract_z
_atom_site_occupancy
I1 0.000 0.000 0.000 1
Te1 0.000 0.000 0.500 1
Rh1 0.500 0.500 0.500 1
N1 0.000 0.500 0.000 1
N2 0.500 0.000 0.000 1
# SG = No. 123
# crystal system = tetragonal
# electronic total energy = -3.836 eV per atom
# calculated density = 5.6 g/cm3
# relative energy among the computed polymorphs = 61.3 kJ/mol of atoms
# M_tot = 0.00 μB/f.u.

# TeRhI2N (PBE, relaxed)
data_TeRhI2N
_chemical_formula_sum 'Te1 Rh1 I2 N1'
_cell_length_a 6.112
_cell_length_b 6.112
_cell_length_c 3.954
_cell_angle_alpha 90.00
_cell_angle_beta 90.00
_cell_angle_gamma 90.00
_space_group_name_H-M_alt 'P 1'
_space_group_IT_number 1
loop_
_space_group_symop_operation_xyz
'x,y,z'
loop_
_atom_site_label
_atom_site_fract_x
_atom_site_fract_y
_atom_site_fract_z
_atom_site_occupancy
I1 0.000 0.500 0.000 1
I2 0.500 0.000 0.000 1
Te1 0.000 0.000 0.000 1
Rh1 0.500 0.500 0.500 1
N1 0.000 0.000 0.500 1
# SG = No. 123
# crystal system = tetragonal
# electronic total energy = -3.146 eV per atom
# calculated density = 5.6 g/cm3
# relative energy among the computed polymorphs = 68.2 kJ/mol of atoms
# M_tot = 1.88 μB/f.u.

# Te2RhIN (PBE, relaxed)
data_Te2RhIN
_chemical_formula_sum 'Te2 Rh1 I1 N1'
_cell_length_a 5.169
_cell_length_b 5.169
_cell_length_c 5.749
_cell_angle_alpha 90.00
_cell_angle_beta 90.00
_cell_angle_gamma 90.00
_space_group_name_H-M_alt 'P 1'
_space_group_IT_number 1
loop_
_space_group_symop_operation_xyz
'x,y,z'
loop_
_atom_site_label
_atom_site_fract_x
_atom_site_fract_y
_atom_site_fract_z
_atom_site_occupancy
I1 0.000 0.000 0.500 1
Te1 0.000 0.500 0.000 1
Te2 0.500 0.000 0.000 1
Rh1 0.000 0.000 0.000 1
N1 0.500 0.500 0.500 1
# SG = No. 123
# crystal system = tetragonal
# electronic total energy = -3.462 eV per atom
# calculated density = 5.4 g/cm3
# relative energy among the computed polymorphs = 74.3 kJ/mol of atoms
# M_tot = 2.44 μB/f.u.

# TlRh2IN (PBE, relaxed)
data_TlRh2IN
_chemical_formula_sum 'Tl1 Rh2 I1 N1'
_cell_length_a 4.135
_cell_length_b 5.976
_cell_length_c 4.135
_cell_angle_alpha 90.00
_cell_angle_beta 90.00
_cell_angle_gamma 90.00
_space_group_name_H-M_alt 'P 1'
_space_group_IT_number 1
loop_
_space_group_symop_operation_xyz
'x,y,z'
loop_
_atom_site_label
_atom_site_fract_x
_atom_site_fract_y
_atom_site_fract_z
_atom_site_occupancy
I1 0.500 0.500 0.500 1
Tl1 0.000 0.500 0.000 1
Rh1 0.000 0.000 0.500 1
Rh2 0.500 0.000 0.000 1
N1 0.000 0.000 0.000 1
# SG = No. 123
# crystal system = tetragonal
# electronic total energy = -4.731 eV per atom
# calculated density = 9.0 g/cm3
# M_tot = 0.00 μB/f.u.

# TlRhIN2 (PBE, relaxed)
data_TlRhIN2
_chemical_formula_sum 'Tl1 Rh1 I1 N2'
_cell_length_a 4.176
_cell_length_b 4.176
_cell_length_c 6.962
_cell_angle_alpha 90.00
_cell_angle_beta 90.00
_cell_angle_gamma 90.00
_space_group_name_H-M_alt 'P 1'
_space_group_IT_number 1
loop_
_space_group_symop_operation_xyz
'x,y,z'
loop_
_atom_site_label
_atom_site_fract_x
_atom_site_fract_y
_atom_site_fract_z
_atom_site_occupancy
I1 0.000 0.000 0.500 1
Tl1 0.000 0.000 0.000 1
Rh1 0.500 0.500 0.500 1
N1 0.000 0.500 0.000 1
N2 0.500 0.000 0.000 1
# SG = No. 123
# crystal system = tetragonal
# electronic total energy = -3.532 eV per atom
# calculated density = 6.3 g/cm3
# relative energy among the computed polymorphs = 78.3 kJ/mol of atoms
# M_tot = 3.84 μB/f.u.

# TlRhIN2 (PBE, relaxed)
data_TlRhIN2
_chemical_formula_sum 'Tl1 Rh1 I1 N2'
_cell_length_a 4.115
_cell_length_b 4.115
_cell_length_c 5.982
_cell_angle_alpha 90.00
_cell_angle_beta 90.00
_cell_angle_gamma 90.00
_space_group_name_H-M_alt 'P 1'
_space_group_IT_number 1
loop_
_space_group_symop_operation_xyz
'x,y,z'
loop_
_atom_site_label
_atom_site_fract_x
_atom_site_fract_y
_atom_site_fract_z
_atom_site_occupancy
I1 0.000 0.000 0.500 1
Tl1 0.500 0.500 0.500 1
Rh1 0.000 0.000 0.000 1
N1 0.000 0.500 0.000 1
N2 0.500 0.000 0.000 1
# SG = No. 123
# crystal system = tetragonal
# electronic total energy = -4.343 eV per atom
# calculated density = 7.6 g/cm3
# relative energy among the computed polymorphs = 0.0 kJ/mol of atoms
# M_tot = 0.01 μB/f.u.